[1]
K2SrIn after structural relaxation, computed with GGA-PBE.

Cell: 6.5609 6.5609 7.8433 Å, 113.83 113.83 41.73°
Last column: nearest neighbours and their distance in Å.
Atoms (fractional coordinates):
K1 0.0000 0.0000 0.0000  2 In 3.60, 1 K 3.87
K2 0.2002 0.2002 0.7307  2 In 3.63, 1 K 3.87
Sr1 0.8091 0.8091 0.3527  3 In 3.47-3.57
In1 0.5205 0.5205 0.3614  3 Sr 3.47-3.57, 4 K 3.60-3.63

Computed properties:
space-group type = Cm (8)
crystal system = monoclinic
calculated formation energy = -3 meV/atom

***

[2]
KH6Cl2O2 after structural relaxation, computed with GGA-PBE.

Cell: 4.3837 5.6033 8.6370 Å, 100.38 90.17 112.71°
Last column: nearest neighbours and their distance in Å.
Atoms (fractional coordinates):
K1 0.0000 0.0000 0.0000  4 Cl 3.13
H1 0.2096 0.7986 0.5158  1 O 1.01
H2 0.3285 0.6584 0.6649  1 O 1.18
H3 0.4153 0.2033 0.4844  1 O 1.01
H4 0.5847 0.7967 0.5156  1 O 1.01
H5 0.6715 0.3416 0.3351  1 O 1.18
H6 0.7904 0.2014 0.4842  1 O 1.01
Cl1 0.3023 0.6029 0.8410  1 H 1.60
Cl2 0.6977 0.3971 0.1590  1 H 1.60
O1 0.3449 0.6928 0.5334  2 H 1.01
O2 0.6551 0.3072 0.4666  2 H 1.01

Computed properties:
space-group type = P-1 (2)
crystal system = triclinic
total DFT energy (no corrections) = -3.933 eV per atom

***

[3]
Dy9Sc4Al11 after structural relaxation, computed with GGA-PBE.

Cell: 13.0844 13.0844 3.2759 Å, 90.00 90.00 102.33°
Last column: nearest neighbours and their distance in Å.
Atoms (fractional coordinates):
Dy1 0.0000 0.0000 0.0000  4 Sc 3.11, 4 Al 3.17, 2 Dy 3.28
Dy2 0.1319 0.6450 0.0000  8 Al 3.12-3.33, 1 Sc 3.23, 2 Dy 3.28
Dy3 0.2884 0.4574 0.0000  8 Al 3.06-3.22, 2 Dy 3.28
Dy4 0.3550 0.8681 0.0000  8 Al 3.12-3.33, 1 Sc 3.23, 2 Dy 3.28
Dy5 0.4574 0.2884 0.0000  8 Al 3.06-3.22, 2 Dy 3.28
Dy6 0.5426 0.7116 0.0000  8 Al 3.06-3.22, 2 Dy 3.28
Dy7 0.6450 0.1319 0.0000  8 Al 3.12-3.33, 1 Sc 3.23, 2 Dy 3.28
Dy8 0.7116 0.5426 0.0000  8 Al 3.06-3.22, 2 Dy 3.28
Dy9 0.8681 0.3550 0.0000  8 Al 3.12-3.33, 1 Sc 3.23, 2 Dy 3.28
Sc1 0.0654 0.2433 0.0000  6 Al 2.91-3.15, 2 Dy 3.11-3.23
Sc2 0.2433 0.0654 0.0000  6 Al 2.91-3.15, 2 Dy 3.11-3.23
Sc3 0.7567 0.9346 0.0000  6 Al 2.91-3.15, 2 Dy 3.11-3.23
Sc4 0.9346 0.7567 0.0000  6 Al 2.91-3.15, 2 Dy 3.11-3.23
Al1 0.0725 0.4348 0.5000  1 Al 2.81, 2 Sc 2.98, 2 Dy 3.12
Al2 0.1332 0.8668 0.5000  4 Sc 3.15, 6 Dy 3.17-3.33, 2 Al 3.28
Al3 0.2509 0.2509 0.5000  4 Sc 2.91, 4 Dy 3.11
Al4 0.3402 0.6598 0.5000  8 Dy 3.06-3.15, 3 Al 3.26-3.28
Al5 0.4348 0.0725 0.5000  1 Al 2.81, 2 Sc 2.98, 2 Dy 3.12
Al6 0.5000 0.5000 0.5000  8 Dy 3.16, 4 Al 3.26-3.28
Al7 0.5652 0.9275 0.5000  1 Al 2.81, 2 Sc 2.98, 2 Dy 3.12
Al8 0.6598 0.3402 0.5000  8 Dy 3.06-3.15, 3 Al 3.26-3.28
Al9 0.7491 0.7491 0.5000  4 Sc 2.91, 4 Dy 3.11
Al10 0.8668 0.1332 0.5000  4 Sc 3.15, 6 Dy 3.17-3.33, 2 Al 3.28
Al11 0.9275 0.5652 0.5000  1 Al 2.81, 2 Sc 2.98, 2 Dy 3.12

Computed properties:
space-group type = Cmmm (65)
crystal system = orthorhombic
calculated formation energy = -328 meV/atom

***

[4]
SrLiP2 after structural relaxation, computed with GGA-PBE.

Cell: 7.6251 4.1557 10.3945 Å, 90.00 90.00 90.00°
Last column: nearest neighbours and their distance in Å.
Atoms (fractional coordinates):
Sr1 0.1278 0.2500 0.1303  9 P 3.05-3.27
Sr2 0.3722 0.7500 0.6303  9 P 3.05-3.27
Sr3 0.6278 0.2500 0.3697  9 P 3.05-3.27
Sr4 0.8722 0.7500 0.8697  9 P 3.05-3.27
Li1 0.0079 0.2500 0.6155  5 P 2.52-2.70
Li2 0.4921 0.7500 0.1155  5 P 2.52-2.70
Li3 0.5079 0.2500 0.8845  5 P 2.52-2.70
Li4 0.9921 0.7500 0.3845  5 P 2.52-2.70
P1 0.1851 0.2500 0.8314  2 P 2.39, 2 Li 2.52-2.62
P2 0.2144 0.2500 0.4167  2 P 2.39, 1 Li 2.60
P3 0.2856 0.7500 0.9167  2 P 2.39, 1 Li 2.60
P4 0.3149 0.7500 0.3314  2 P 2.39, 2 Li 2.52-2.62
P5 0.6851 0.2500 0.6686  2 P 2.39, 2 Li 2.52-2.62
P6 0.7144 0.2500 0.0833  2 P 2.39, 1 Li 2.60
P7 0.7856 0.7500 0.5833  2 P 2.39, 1 Li 2.60
P8 0.8149 0.7500 0.1686  2 P 2.39, 2 Li 2.52-2.62

Computed properties:
space-group type = Pnma (62)
crystal system = orthorhombic
calculated formation energy = -726 meV/atom
ΔE to the lowest computed polymorph = 0.000 eV/atom

***

[5]
Sr3Li9Ga2 after structural relaxation, computed with GGA-PBE.

Cell: 9.0616 9.0616 9.0616 Å, 148.85 107.80 80.71°
Last column: nearest neighbours and their distance in Å.
Atoms (fractional coordinates):
Sr1 0.0000 0.0000 0.0000  4 Li 3.31
Sr2 0.3269 0.3269 0.0000  2 Ga 3.38, 12 Li 3.41-3.64
Sr3 0.6731 0.6731 0.0000  2 Ga 3.38, 12 Li 3.41-3.64
Li1 0.0189 0.6780 0.3409  1 Ga 2.76, 3 Li 2.93-3.09
Li2 0.1752 0.8962 0.2790  5 Li 2.76-3.09, 2 Ga 2.82
Li3 0.3371 0.6780 0.6591  1 Ga 2.76, 3 Li 2.93-3.09
Li4 0.3827 0.1038 0.2790  5 Li 2.76-3.09, 2 Ga 2.82
Li5 0.5000 0.0000 0.5000  4 Li 2.76
Li6 0.6173 0.8962 0.7210  5 Li 2.76-3.09, 2 Ga 2.82
Li7 0.6629 0.3220 0.3409  1 Ga 2.76, 3 Li 2.93-3.09
Li8 0.8248 0.1038 0.7210  5 Li 2.76-3.09, 2 Ga 2.82
Li9 0.9811 0.3220 0.6591  1 Ga 2.76, 3 Li 2.93-3.09
Ga1 0.2764 0.5000 0.7764  6 Li 2.76-2.82
Ga2 0.7236 0.5000 0.2236  6 Li 2.76-2.82

Computed properties:
space-group type = Immm (71)
crystal system = orthorhombic
calculated formation energy = -93 meV/atom

***

[6]
TlHgPb2 after structural relaxation, computed with GGA-PBE.

Cell: 6.5158 6.5158 6.5158 Å, 146.12 128.30 63.26°
Last column: nearest neighbours and their distance in Å.
Atoms (fractional coordinates):
Tl1 0.0000 0.0000 0.0000  4 Hg 3.42, 4 Pb 3.49, 2 Tl 3.80
Hg1 0.5000 0.5000 0.0000  4 Pb 3.23, 4 Tl 3.42
Pb1 0.2640 0.7640 0.5000  2 Hg 3.23, 4 Pb 3.43, 2 Tl 3.49
Pb2 0.7360 0.2360 0.5000  2 Hg 3.23, 4 Pb 3.43, 2 Tl 3.49

Computed properties:
space-group type = Immm (71)
crystal system = orthorhombic
calculated formation energy = 22 meV/atom

***

[7]
LiMn2Cu after structural relaxation, computed with GGA-PBE.

Cell: 2.5807 3.6718 5.2888 Å, 90.00 90.00 90.00°
Last column: nearest neighbours and their distance in Å.
Atoms (fractional coordinates):
Li1 0.0000 0.0000 0.0000  4 Cu 2.54, 2 Li 2.58, 6 Mn 2.64-2.71
Mn1 0.0000 0.0000 0.4990  6 Mn 2.51-2.58, 2 Li 2.64-2.65, 4 Cu 2.68
Mn2 0.5000 0.5000 0.2885  6 Mn 2.51-2.58, 2 Cu 2.58-2.71, 4 Li 2.71
Cu1 0.5000 0.5000 0.7764  4 Li 2.54, 6 Mn 2.58-2.71, 2 Cu 2.58

Computed properties:
space-group type = Pmm2 (25)
crystal system = orthorhombic
calculated formation energy = 204 meV/atom

***

[8]
RbGa2Au after structural relaxation, computed with GGA-PBE.

Cell: 3.5038 3.5038 8.2305 Å, 90.00 90.00 90.00°
Last column: nearest neighbours and their distance in Å.
Atoms (fractional coordinates):
Rb1 0.0000 0.0000 0.0000  4 Rb 3.50, 8 Ga 3.65
Ga1 0.5000 0.5000 0.3263  1 Ga 2.86, 4 Au 2.86
Ga2 0.5000 0.5000 0.6737  1 Ga 2.86, 4 Au 2.86
Au1 0.0000 0.0000 0.5000  8 Ga 2.86

Computed properties:
space-group type = P4/mmm (123)
crystal system = tetragonal
calculated formation energy = -72 meV/atom

***

[9]
NaRhSe2N after structural relaxation, computed with GGA-PBE.

Cell: 5.0600 5.0600 4.0412 Å, 90.00 90.00 90.00°
Last column: nearest neighbours and their distance in Å.
Atoms (fractional coordinates):
Na1 0.0000 0.0000 0.0000  2 N 2.02
Rh1 0.5000 0.5000 0.5000  8 Se 3.24, 4 N 3.58
Se1 0.0000 0.5000 0.0000  2 Na 2.53
Se2 0.5000 0.0000 0.0000  2 Na 2.53
N1 0.0000 0.0000 0.5000  2 Na 2.02

Computed properties:
space-group type = P4/mmm (123)
crystal system = tetragonal
ΔE to the lowest computed polymorph = 1.536 eV/atom

***

[10]
ZrTiAs2Ru after structural relaxation, computed with GGA-PBE.

Cell: 5.0436 5.0436 4.8160 Å, 90.00 90.00 90.00°
Last column: nearest neighbours and their distance in Å.
Atoms (fractional coordinates):
Zr1 0.0000 0.0000 0.0000  2 Ti 2.41, 4 As 2.52
Ti1 0.0000 0.0000 0.5000  2 Zr 2.41
As1 0.0000 0.5000 0.0000  2 Zr 2.52
As2 0.5000 0.0000 0.0000  2 Zr 2.52
Ru1 0.5000 0.5000 0.5000  8 As 3.49, 4 Ti 3.57

Computed properties:
space-group type = P4/mmm (123)
crystal system = tetragonal
calculated formation energy = 1209 meV/atom

***

[11]
SmH4Pd after structural relaxation, computed with GGA-PBE.

Cell: 4.4764 4.4764 4.0023 Å, 115.98 115.98 63.21°
Last column: nearest neighbours and their distance in Å.
Atoms (fractional coordinates):
Sm1 0.0000 0.0000 0.0000  12 H 2.47-2.57
H1 0.0591 0.5933 0.3232  1 Pd 1.69
H2 0.4067 0.9409 0.6768  1 Pd 1.69
H3 0.5933 0.0591 0.3232  1 Pd 1.69
H4 0.9409 0.4067 0.6768  1 Pd 1.69
Pd1 0.5000 0.5000 0.5000  4 H 1.69

Computed properties:
space-group type = C2/m (12)
crystal system = monoclinic
total DFT energy (no corrections) = -4.272 eV per atom

***

[12]
Pr8Ir3NCl4 after structural relaxation, computed with GGA-PBE.

Cell: 8.1497 8.1497 8.8928 Å, 117.43 117.43 59.81°
Last column: nearest neighbours and their distance in Å.
Atoms (fractional coordinates):
Pr1 0.2221 0.7526 0.6958  1 N 2.65, 2 Ir 2.84
Pr2 0.2256 0.2256 0.6983  1 N 2.70, 2 Ir 2.83
Pr3 0.2474 0.7779 0.3042  1 N 2.65, 2 Ir 2.84
Pr4 0.2633 0.2633 0.2910  3 Ir 2.83
Pr5 0.7367 0.7367 0.7090  3 Ir 2.83
Pr6 0.7526 0.2221 0.6958  1 N 2.65, 2 Ir 2.84
Pr7 0.7744 0.7744 0.3017  1 N 2.70, 2 Ir 2.83
Pr8 0.7779 0.2474 0.3042  1 N 2.65, 2 Ir 2.84
Ir1 0.0000 0.5000 0.5000  6 Pr 2.83-2.84
Ir2 0.5000 0.0000 0.5000  6 Pr 2.83-2.84
Ir3 0.5000 0.5000 0.5000  6 Pr 2.83-2.84
N1 0.0000 0.0000 0.5000  6 Pr 2.65-2.70
Cl1 0.0000 0.0000 0.0000  6 Pr 3.21-3.24
Cl2 0.0000 0.5000 0.0000  6 Pr 3.22-3.23
Cl3 0.5000 0.0000 0.0000  6 Pr 3.22-3.23
Cl4 0.5000 0.5000 0.0000  6 Pr 3.34-3.39

Computed properties:
space-group type = C2/m (12)
crystal system = monoclinic
total DFT energy (no corrections) = -6.223 eV per atom